Entry 1:
Material: RbLi4Nd3Br12
Method: DFT, GGA-PBE
State: relaxed

Cell lengths 9.702, 9.702, 9.702 Å; angles 108.82, 108.82, 108.82 degrees
Positions (direct):
1 Rb 0.000 0.000 0.000
2 Li 0.086 0.500 0.914
3 Li 0.500 0.500 0.500
4 Li 0.500 0.914 0.086
5 Li 0.914 0.086 0.500
6 Nd 0.000 0.578 0.422
7 Nd 0.422 0.000 0.578
8 Nd 0.578 0.422 0.000
9 Br 0.066 0.664 0.764
10 Br 0.074 0.926 0.500
11 Br 0.236 0.336 0.934
12 Br 0.336 0.934 0.236
13 Br 0.347 0.653 0.500
14 Br 0.500 0.074 0.926
15 Br 0.500 0.347 0.653
16 Br 0.653 0.500 0.347
17 Br 0.664 0.764 0.066
18 Br 0.764 0.066 0.664
19 Br 0.926 0.500 0.074
20 Br 0.934 0.236 0.336

Results
- theoretical density (g/cm³) = 3.47
- energy relative to the elements, uncorrected (eV per atom) = -1.581
- space-group type = R32 (155)
- E (eV/atom) = -3.73

Entry 2:
Material: RbLi2NdBr6
Method: DFT, GGA-PBE
State: relaxed

Cell lengths 7.396, 7.401, 7.984 Å; angles 90.04, 117.56, 119.97 degrees
Positions (direct):
1 Rb 0.000 0.000 0.000
2 Li 0.549 0.275 0.824
3 Li 0.568 0.785 0.353
4 Nd 0.948 0.474 0.422
5 Br 0.078 0.185 0.610
6 Br 0.078 0.477 0.126
7 Br 0.426 0.893 0.610
8 Br 0.525 0.049 0.127
9 Br 0.650 0.602 0.127
10 Br 0.717 0.533 0.610

Results
- theoretical density (g/cm³) = 3.75
- energy relative to the elements, uncorrected (eV per atom) = -1.692
- space-group type = P1 (1)
- E (eV/atom) = -3.65

Which of these has the lowest E? RbLi4Nd3Br12

Which of these has the lowest E? RbLi4Nd3Br12